# 1
Below is La6Ag7 after structural relaxation, with properties calculated at the GGA-PBEsol level.

Cell lengths 5.7745, 5.7745, 11.3176 Å; angles 75.22, 75.22, 60.00 degrees
Last column: nearest neighbours and their distance in Å.
Fractional coordinates of all 13 atoms:
Ag  0.9021  0.4084  0.2811  5 Ag 2.85-2.92, 3 La 3.16-3.17
Ag  0.4084  0.9021  0.2811  5 Ag 2.85-2.92, 3 La 3.16-3.17
Ag  0.4084  0.4084  0.2811  5 Ag 2.85-2.92, 3 La 3.16-3.17
Ag  0.0979  0.5916  0.7189  5 Ag 2.85-2.92, 3 La 3.16-3.17
Ag  0.5916  0.5916  0.7189  5 Ag 2.85-2.92, 3 La 3.16-3.17
Ag  0.5916  0.0979  0.7189  5 Ag 2.85-2.92, 3 La 3.16-3.17
Ag  0.5000  0.5000  0.5000  6 Ag 2.88
La  0.9469  0.9469  0.1594  6 Ag 3.17, 2 La 3.38-3.45
La  0.0531  0.0531  0.8406  6 Ag 3.17, 2 La 3.38-3.45
La  0.8427  0.8427  0.4719  6 Ag 3.16-3.35, 4 La 3.38-3.39
La  0.1573  0.1573  0.5281  6 Ag 3.16-3.35, 4 La 3.38-3.39
La  0.6698  0.6698  0.9905  6 La 3.34-3.71, 6 Ag 3.39-3.55
La  0.3302  0.3302  0.0095  6 La 3.34-3.71, 6 Ag 3.39-3.55

Formation energy from the elements, eV/f.u.: -2.3
Size of the total moment, μB per cell: 0.001



# 2
Below is SrZnIn2 after structural relaxation, with properties calculated at the GGA-PBEsol level.

Cell lengths 5.1887, 5.1887, 5.1887 Å; angles 60.00, 60.00, 60.00 degrees
Last column: nearest neighbours and their distance in Å.
Fractional coordinates of all 4 atoms:
In  0.0000  0.0000  0.0000  4 In 3.18, 4 Zn 3.18
In  0.2500  0.2500  0.2500  4 In 3.18, 4 Sr 3.18
Sr  0.5000  0.5000  0.5000  4 Zn 3.18, 4 In 3.18
Zn  0.7500  0.7500  0.7500  4 In 3.18, 4 Sr 3.18

Formation energy from the elements, eV/f.u.: -0.9
Size of the total moment, μB per cell: 0.000



# 3
Below is YMg2Rh after structural relaxation, with properties calculated at the GGA-PBEsol level.

Cell lengths 3.9583, 4.0632, 4.9563 Å; angles 90.00, 90.00, 90.00 degrees
Last column: nearest neighbours and their distance in Å.
Fractional coordinates of all 4 atoms:
Mg  0.0000  0.0000  0.0000  4 Mg 2.84, 4 Rh 3.17
Mg  0.5000  0.5000  0.0000  4 Mg 2.84, 4 Y 3.17
Rh  0.5000  0.0000  0.5000  4 Y 2.84, 4 Mg 3.17
Y  0.0000  0.5000  0.5000  4 Rh 2.84, 4 Mg 3.17

Formation energy from the elements, eV/f.u.: -1.2
Size of the total moment, μB per cell: 0.000